The following is a DFT calculation (PBE) of a relaxed RbC2SCl crystal. Values from VASP.

Output
Size of the total moment   1.70 μB/cell
Volume   26.66 Å³ per atom
SG   No. 123
Density   2.2 g cm⁻³
Calculated total energy   -3.61 eV per atom
Density of states at the Fermi level   1.37 states/eV per cell
ΔE_f (raw)   142 kJ/mol of atoms

The structure in Quantum ESPRESSO input format:
```
&SYSTEM
  ibrav = 0, nat = 5, ntyp = 4
/
ATOMIC_SPECIES
Rb 85.47 Rb.upf
C 12.01 C.upf
S 32.06 S.upf
Cl 35.45 Cl.upf
CELL_PARAMETERS angstrom
4.007 0.000 0.000
0.000 4.007 0.000
0.000 0.000 8.300
ATOMIC_POSITIONS crystal
Rb 0.000 0.000 0.000
C 0.000 0.500 0.500
C 0.500 0.000 0.500
S 0.000 0.000 0.500
Cl 0.500 0.500 0.000
```


The following is a DFT calculation (PBE) of a relaxed CsP3Ir crystal. Values from VASP.

Output
Size of the total moment   0.00 μB/cell
Volume   23.03 Å³ per atom
SG   No. 221
E_form   2.6 eV per formula unit
Density   6.0 g cm⁻³
ΔE to the lowest computed polymorph   0 meV/atom
Calculated total energy   -4.66 eV per atom
Density of states at the Fermi level   5.65 states/eV per cell

The structure in Quantum ESPRESSO input format:
```
&SYSTEM
  ibrav = 0, nat = 5, ntyp = 3
/
ATOMIC_SPECIES
Cs 132.91 Cs.upf
P 30.97 P.upf
Ir 192.22 Ir.upf
CELL_PARAMETERS angstrom
4.865 0.000 0.000
0.000 4.865 0.000
0.000 0.000 4.865
ATOMIC_POSITIONS crystal
Cs 0.000 0.000 0.000
P 0.000 0.500 0.500
P 0.500 0.000 0.500
P 0.500 0.500 0.000
Ir 0.500 0.500 0.500
```


The following is a DFT calculation (PBE) of a relaxed InPtCl crystal. Values from VASP.

Output
Size of the total moment   0.00 μB/cell
Volume   22.65 Å³ per atom
SG   No. 216
Density   8.4 g cm⁻³
ΔE to the lowest computed polymorph   152 meV/atom
Calculated total energy   -3.65 eV per atom
Density of states at the Fermi level   3.90 states/eV per cell
ΔE_f (raw)   -11 kJ/mol of atoms

The structure in Quantum ESPRESSO input format:
```
&SYSTEM
  ibrav = 0, nat = 12, ntyp = 3
/
ATOMIC_SPECIES
In 114.82 In.upf
Pt 195.08 Pt.upf
Cl 35.45 Cl.upf
CELL_PARAMETERS angstrom
6.478 0.000 0.000
0.000 6.478 0.000
0.000 0.000 6.478
ATOMIC_POSITIONS crystal
In 0.000 0.000 0.000
In 0.000 0.500 0.500
In 0.500 0.000 0.500
In 0.500 0.500 0.000
Pt 0.250 0.250 0.250
Pt 0.250 0.750 0.750
Pt 0.750 0.250 0.750
Pt 0.750 0.750 0.250
Cl 0.000 0.000 0.500
Cl 0.000 0.500 0.000
Cl 0.500 0.000 0.000
Cl 0.500 0.500 0.500
```


The following is a DFT calculation (PBE) of a relaxed YGe2Au crystal. Values from VASP.

Output
Size of the total moment   0.00 μB/cell
Volume   22.98 Å³ per atom
SG   No. 122
E_form   -1.3 eV per formula unit
Density   7.8 g cm⁻³
ΔE to the lowest computed polymorph   175 meV/atom
Calculated total energy   -5.07 eV per atom
Density of states at the Fermi level   7.21 states/eV per cell

The structure in Quantum ESPRESSO input format:
```
&SYSTEM
  ibrav = 0, nat = 16, ntyp = 3
/
ATOMIC_SPECIES
Y 88.91 Y.upf
Ge 72.64 Ge.upf
Au 196.97 Au.upf
CELL_PARAMETERS angstrom
4.465 0.000 0.000
0.000 4.465 0.000
0.000 0.000 18.449
ATOMIC_POSITIONS crystal
Y 0.000 0.000 0.000
Y 0.000 0.500 0.250
Y 0.500 0.000 0.750
Y 0.500 0.500 0.500
Ge 0.174 0.250 0.625
Ge 0.250 0.674 0.875
Ge 0.250 0.826 0.375
Ge 0.326 0.250 0.125
Ge 0.674 0.750 0.125
Ge 0.750 0.174 0.375
Ge 0.750 0.326 0.875
Ge 0.826 0.750 0.625
Au 0.000 0.000 0.500
Au 0.000 0.500 0.750
Au 0.500 0.000 0.250
Au 0.500 0.500 0.000
```


The following is a DFT calculation (PBE) of a relaxed SrBeBi3 crystal. Values from VASP.

Output
Size of the total moment   0.00 μB/cell
Volume   30.04 Å³ per atom
SG   No. 221
E_form   0.0 eV per formula unit
Density   8.0 g cm⁻³
ΔE to the lowest computed polymorph   0 meV/atom
Calculated total energy   -3.41 eV per atom
Density of states at the Fermi level   3.73 states/eV per cell

The structure in Quantum ESPRESSO input format:
```
&SYSTEM
  ibrav = 0, nat = 5, ntyp = 3
/
ATOMIC_SPECIES
Sr 87.62 Sr.upf
Be 9.01 Be.upf
Bi 208.98 Bi.upf
CELL_PARAMETERS angstrom
5.315 0.000 0.000
0.000 5.315 0.000
0.000 0.000 5.315
ATOMIC_POSITIONS crystal
Sr 0.000 0.000 0.000
Be 0.500 0.500 0.500
Bi 0.000 0.500 0.500
Bi 0.500 0.000 0.500
Bi 0.500 0.500 0.000
```


The following is a DFT calculation (PBE) of a relaxed BeSe2S crystal. Values from VASP.

Output
Size of the total moment   0.00 μB/cell
Volume   19.98 Å³ per atom
SG   No. 166
Density   4.1 g cm⁻³
ΔE to the lowest computed polymorph   0 meV/atom
Calculated total energy   -3.61 eV per atom
Density of states at the Fermi level   9.99 states/eV per cell
ΔE_f (raw)   9 kJ/mol of atoms

The structure in Quantum ESPRESSO input format:
```
&SYSTEM
  ibrav = 0, nat = 12, ntyp = 3
/
ATOMIC_SPECIES
Be 9.01 Be.upf
Se 78.96 Se.upf
S 32.06 S.upf
CELL_PARAMETERS angstrom
3.584 0.000 0.000
-1.792 3.104 0.000
0.000 0.000 21.562
ATOMIC_POSITIONS crystal
Be 0.000 0.000 0.000
Be 0.333 0.667 0.667
Be 0.667 0.333 0.333
Se 0.000 0.000 0.391
Se 0.000 0.000 0.609
Se 0.333 0.667 0.058
Se 0.333 0.667 0.276
Se 0.667 0.333 0.724
Se 0.667 0.333 0.942
S 0.000 0.000 0.500
S 0.333 0.667 0.167
S 0.667 0.333 0.833
```


Q: Which of these has the highest density?
A: InPtCl